[1]
This record from the Alexandria database describes an optimized crystal structure of Rb2HgS. The functional is PBE-GGA.

The energy relative to the lowest polymorph listed for this composition is 99 meV/atom. The theoretical density comes out at 4.35 g/cm3. Its space group is No. 123.

a = 4.126 Å, b = 4.126 Å, c = 9.058 Å
α = 90.00°, β = 90.00°, γ = 90.00°
Atoms (fractional coordinates):
Rb1 0.000 0.000 0.184
Rb2 0.000 0.000 0.816
Hg1 0.500 0.500 0.500
S1 0.500 0.500 0.000

=====

[2]
This record from the Alexandria database describes an optimized crystal structure of YSbTe2As. The functional is PBE-GGA.

The energy relative to the lowest polymorph listed for this composition is 388 meV/atom. The theoretical density comes out at 4.53 g/cm3. Its space group is No. 123.

a = 5.771 Å, b = 5.771 Å, c = 5.954 Å
α = 90.00°, β = 90.00°, γ = 90.00°
Atoms (fractional coordinates):
Y1 0.000 0.000 0.000
Sb1 0.000 0.000 0.500
Te1 0.000 0.500 0.000
Te2 0.500 0.000 0.000
As1 0.500 0.500 0.500

=====

[3]
This record from the Alexandria database describes an optimized crystal structure of La4Sn2O. The functional is PBE-GGA.

The energy relative to the lowest polymorph listed for this composition is 10 meV/atom. The theoretical density comes out at 6.29 g/cm3. Its space group is No. 11.

a = 6.675 Å, b = 6.975 Å, c = 9.703 Å
α = 90.00°, β = 108.92°, γ = 90.00°
Atoms (fractional coordinates):
La1 0.189 0.250 0.043
La2 0.248 0.514 0.712
La3 0.248 0.986 0.712
La4 0.274 0.750 0.345
La5 0.726 0.250 0.655
La6 0.752 0.014 0.288
La7 0.752 0.486 0.288
La8 0.811 0.750 0.957
Sn1 0.243 0.250 0.402
Sn2 0.340 0.750 0.033
Sn3 0.660 0.250 0.967
Sn4 0.757 0.750 0.598
O1 0.090 0.250 0.780
O2 0.910 0.750 0.220

=====

[4]
This record from the Alexandria database describes an optimized crystal structure of Pm12Os3O5. The functional is PBE-GGA.

The theoretical density comes out at 8.40 g/cm3. Its space group is No. 230. The value obtained for the uncorrected energy is -7.15 eV/atom.

a = 13.493 Å, b = 13.493 Å, c = 13.493 Å
α = 109.47°, β = 109.47°, γ = 109.47°
Atoms (fractional coordinates):
Pm1 0.026 0.208 0.121
Pm2 0.026 0.317 0.905
Pm3 0.088 0.708 0.683
Pm4 0.088 0.879 0.405
Pm5 0.095 0.621 0.412
Pm6 0.095 0.974 0.683
Pm7 0.121 0.026 0.208
Pm8 0.121 0.595 0.912
Pm9 0.183 0.208 0.588
Pm10 0.183 0.474 0.595
Pm11 0.208 0.121 0.026
Pm12 0.208 0.588 0.183
Pm13 0.292 0.317 0.912
Pm14 0.292 0.474 0.379
Pm15 0.317 0.905 0.026
Pm16 0.317 0.912 0.292
Pm17 0.379 0.292 0.474
Pm18 0.379 0.588 0.905
Pm19 0.405 0.088 0.879
Pm20 0.405 0.817 0.526
Pm21 0.412 0.095 0.621
Pm22 0.412 0.817 0.792
Pm23 0.474 0.379 0.292
Pm24 0.474 0.595 0.183
Pm25 0.526 0.405 0.817
Pm26 0.526 0.621 0.708
Pm27 0.588 0.183 0.208
Pm28 0.588 0.905 0.379
Pm29 0.595 0.183 0.474
Pm30 0.595 0.912 0.121
Pm31 0.621 0.412 0.095
Pm32 0.621 0.708 0.526
Pm33 0.683 0.088 0.708
Pm34 0.683 0.095 0.974
Pm35 0.708 0.526 0.621
Pm36 0.708 0.683 0.088
Pm37 0.792 0.412 0.817
Pm38 0.792 0.879 0.974
Pm39 0.817 0.526 0.405
Pm40 0.817 0.792 0.412
Pm41 0.879 0.405 0.088
Pm42 0.879 0.974 0.792
Pm43 0.905 0.026 0.317
Pm44 0.905 0.379 0.588
Pm45 0.912 0.121 0.595
Pm46 0.912 0.292 0.317
Pm47 0.974 0.683 0.095
Pm48 0.974 0.792 0.879
Os1 0.125 0.250 0.375
Os2 0.125 0.375 0.750
Os3 0.250 0.375 0.125
Os4 0.250 0.875 0.625
Os5 0.375 0.125 0.250
Os6 0.375 0.750 0.125
Os7 0.625 0.250 0.875
Os8 0.625 0.875 0.750
Os9 0.750 0.125 0.375
Os10 0.750 0.625 0.875
Os11 0.875 0.625 0.250
Os12 0.875 0.750 0.625
O1 0.000 0.000 0.000
O2 0.000 0.000 0.500
O3 0.000 0.500 0.000
O4 0.000 0.500 0.500
O5 0.125 0.750 0.875
O6 0.125 0.875 0.250
O7 0.250 0.125 0.875
O8 0.250 0.625 0.375
O9 0.375 0.250 0.625
O10 0.375 0.625 0.750
O11 0.500 0.000 0.000
O12 0.500 0.000 0.500
O13 0.500 0.500 0.000
O14 0.500 0.500 0.500
O15 0.625 0.375 0.250
O16 0.625 0.750 0.375
O17 0.750 0.375 0.625
O18 0.750 0.875 0.125
O19 0.875 0.125 0.750
O20 0.875 0.250 0.125